This record from Alexandria describes AcMgVO5 after structural relaxation. The functional is PBE+U.

It has space group C2/c (No. 15), with a = 8.737 Å, b = 9.158 Å, c = 8.394 Å, α = 90.00°, β = 116.98° and γ = 90.00°. Symmetry generates all atoms from Ac at (0.000, 0.000, 0.000), Mg at (0.000, 0.326, 0.250), V at (0.000, 0.377, 0.750), O at (0.000, 0.122, 0.250), O at (0.001, 0.271, 0.580) and O at (0.169, 0.493, 0.332).

Its energy is -232.4 eV per cell.

This record from Alexandria describes AcMgWO6 after structural relaxation. The functional is PBE+U.

It has space group P-31c (No. 163), with a = 5.3758 Å, b = 5.3758 Å, c = 10.5429 Å, α = 90.00°, β = 90.00° and γ = 120.00°. Symmetry generates all atoms from Ac at (0.0000, 0.0000, 0.0000), Mg at (0.3333, 0.6667, 0.2500), W at (0.3333, 0.6667, 0.7500) and O at (0.0206, 0.3831, 0.6454).

Its energy is -129.2 eV per cell.